Record 1
Cd2FePb | the Alexandria database | PBEsol | optimized geometry; ΔE_f = 30.1 kJ per mole of atoms; space-group type = P4/mmm, No. 123; total moment = 2.59 μB per formula unit
1.0
-0.793 -2.742 -1.126
2.446 0.053 -1.852
4.715 -3.875 6.115
Cd Fe Pb
2 1 1
direct
0.000 0.000 0.802
0.000 0.000 0.198
0.500 0.500 0.000
0.500 0.500 0.500

Record 2
CdFe2Pb | the Alexandria database | PBEsol | optimized geometry; ΔE_f = 55.6 kJ per mole of atoms; E above lowest polymorph = 0.04 eV per formula unit; space-group type = P4/mmm, No. 123; total moment = 5.21 μB per formula unit
1.0
3.938 0.000 0.000
0.000 4.113 0.000
0.000 0.000 4.113
Cd Fe Pb
1 2 1
direct
0.500 0.000 0.000
0.000 0.000 0.500
0.000 0.500 0.000
0.500 0.500 0.500

Record 3
CdFePb3 | the Alexandria database | PBEsol | optimized geometry; ΔE_f = 114.6 kJ per mole of atoms; space-group type = Pm-3m, No. 221; total moment = 3.28 μB per formula unit
1.0
5.488 0.000 0.000
0.000 5.488 0.000
0.000 0.000 5.488
Pb Fe Cd
3 1 1
direct
0.000 0.500 0.000
0.000 0.000 0.500
0.500 0.000 0.000
0.500 0.500 0.500
0.000 0.000 0.000

- What is the ΔE_f in the third record?
  114.6 kJ per mole of atoms